No. 1
DFT (PBE) results for a relaxed structure of Ho2P4Ir3Rh.

abc: 4.132 4.132 9.499
angles: 90.00 90.00 90.00
Fractional coordinates of all 10 atoms:
Ho 0.000 0.500 0.242
Ho 0.500 0.000 0.758
P 0.000 0.000 0.000
P 0.000 0.500 0.640
P 0.500 0.000 0.360
P 0.500 0.500 0.000
Ir 0.000 0.500 0.885
Ir 0.500 0.000 0.115
Ir 0.500 0.500 0.500
Rh 0.000 0.000 0.500

Properties
**Mass density**: 11.60 g/cm3
**VASP energy**: -7.48 eV/atom
**SG**: No. 115
**Formation enthalpy at 0 K**: -1.008 eV per atom



No. 2
DFT (PBE) results for a relaxed structure of Be4W.

abc: 4.634 4.634 4.634
angles: 109.47 109.47 109.47
Fractional coordinates of all 5 atoms:
Be 0.000 0.000 0.500
Be 0.000 0.500 0.000
Be 0.500 0.000 0.000
Be 0.500 0.500 0.500
W 0.000 0.000 0.000

Properties
**Mass density**: 4.77 g/cm3
**VASP energy**: -4.24 eV/atom
**SG**: No. 229
**Formation enthalpy at 0 K**: 1.329 eV per atom



No. 3
DFT (PBE) results for a relaxed structure of Ho4ErMg2.

abc: 8.578 8.578 8.578
angles: 36.77 36.77 36.77
Fractional coordinates of all 7 atoms:
Ho 0.069 0.069 0.069
Ho 0.207 0.207 0.207
Ho 0.793 0.793 0.793
Ho 0.931 0.931 0.931
Er 0.500 0.500 0.500
Mg 0.351 0.351 0.351
Mg 0.649 0.649 0.649

Properties
**Mass density**: 7.18 g/cm3
**VASP energy**: -3.65 eV/atom
**SG**: No. 166
**Formation enthalpy at 0 K**: 0.069 eV per atom